4
Lattice="2.601 0.167 4.631 2.157 4.560 1.673 -2.111 2.576 4.141" Properties=species:S:1:pos:R:3 comment="PBE CuIBr2, relaxed" n_ef_per_ev_cell=8.6 magnetic_moment_mub_per_cell=0.00 e_tot_ev_per_atom=-1.6093 space_group="Fm-3m, No. 225" pbc="T T T"
I 1.324 3.651 5.223
Cu 0.000 0.000 0.000
Br 0.662 1.826 2.611
Br 1.985 5.477 7.834